Record 1
This record from Alexandria describes crystalline La2PrScBi4 at its relaxed geometry. The functional is PBE.

Properties
For the formation energy, the calculation gives -903 meV/atom. The symmetry is P2/m, No. 10. The calculation puts the density at 7.90 g/cm³.

Cell: 7.9316 4.5998 7.9493 Å, 90.00 109.58 90.00°
Last column: nearest neighbours and their distance in Å.
Fractional coordinates of all 8 atoms:
1 La 0.0000 0.0000 0.0000  6 Bi 3.26
2 La 0.0000 0.5000 0.5000  6 Bi 3.36
3 Pr 0.5000 0.0000 0.5000  6 Bi 3.24
4 Sc 0.5000 0.5000 0.0000  6 Bi 3.13
5 Bi 0.2605 0.5000 0.2426  1 Sc 3.13, 2 Pr 3.24, 3 La 3.26-3.36
6 Bi 0.2685 0.0000 0.7670  2 Sc 3.13, 1 Pr 3.24, 3 La 3.26-3.36
7 Bi 0.7315 0.0000 0.2330  2 Sc 3.13, 1 Pr 3.24, 3 La 3.26-3.36
8 Bi 0.7395 0.5000 0.7574  1 Sc 3.13, 2 Pr 3.24, 3 La 3.26-3.36

Record 2
This record from Alexandria describes crystalline Ac3SiNi at its relaxed geometry. The functional is PBE.

Properties
The symmetry is Pmmn, No. 59. The calculation puts the density at 8.12 g/cm³. As for the formation energy (no corrections): -286 meV/atom. For the distance to the lowest polymorph of the same formula, the calculation gives 0.0000 eV/atom.

Cell: 4.2882 10.4731 6.9930 Å, 90.00 90.00 90.00°
Last column: nearest neighbours and their distance in Å.
Fractional coordinates of all 10 atoms:
1 Ac 0.2500 0.0582 0.2376  2 Ni 3.10, 2 Si 3.25
2 Ac 0.2500 0.2500 0.7051  2 Ni 3.13, 2 Si 3.17
3 Ac 0.2500 0.4418 0.2376  2 Ni 3.10, 2 Si 3.25
4 Ac 0.7500 0.5582 0.7624  2 Ni 3.10, 2 Si 3.25
5 Ac 0.7500 0.7500 0.2949  2 Ni 3.13, 2 Si 3.17
6 Ac 0.7500 0.9418 0.7624  2 Ni 3.10, 2 Si 3.25
7 Si 0.2500 0.7500 0.9610  1 Ni 2.38
8 Si 0.7500 0.2500 0.0390  1 Ni 2.38
9 Ni 0.2500 0.7500 0.6203  1 Si 2.38
10 Ni 0.7500 0.2500 0.3797  1 Si 2.38

Record 3
This record from Alexandria describes crystalline LiSiB at its relaxed geometry. The functional is PBE.

Properties
The symmetry is P6_3mc, No. 186. The calculation puts the density at 2.44 g/cm³. As for the formation energy (no corrections): -85 meV/atom.

Cell: 3.5249 3.5249 5.7951 Å, 90.00 90.00 120.00°
Last column: nearest neighbours and their distance in Å.
Fractional coordinates of all 6 atoms:
1 Li 0.0000 0.0000 0.0000  3 B 2.20
2 Li 0.0000 0.0000 0.5000  3 B 2.20
3 Si 0.3333 0.6667 0.2407  4 B 2.14-2.22
4 Si 0.6667 0.3333 0.7407  4 B 2.14-2.22
5 B 0.3333 0.6667 0.8575  4 Si 2.14-2.22, 3 Li 2.20
6 B 0.6667 0.3333 0.3575  4 Si 2.14-2.22, 3 Li 2.20

Record 4
This record from Alexandria describes crystalline NbHPd at its relaxed geometry. The functional is PBE.

Properties
The symmetry is P2_1, No. 4. The calculation puts the density at 9.46 g/cm³. For the distance to the lowest polymorph of the same formula, the calculation gives 0.0000 eV/atom.

Cell: 2.8626 4.4518 5.7028 Å, 90.00 104.62 90.00°
Last column: nearest neighbours and their distance in Å.
Fractional coordinates of all 6 atoms:
1 Nb 0.1649 0.0000 0.3251  2 H 2.01
2 Nb 0.8351 0.5000 0.6749  2 H 2.01
3 H 0.2069 0.4987 0.4197  2 Nb 2.01, 2 Pd 2.12-2.14
4 H 0.7931 0.9987 0.5803  2 Nb 2.01, 2 Pd 2.12-2.14
5 Pd 0.4323 0.0000 0.8662  2 H 2.12-2.14
6 Pd 0.5677 0.5000 0.1338  2 H 2.12-2.14

Record 5
This record from Alexandria describes crystalline DyPaSe2O at its relaxed geometry. The functional is PBE.

Properties
The symmetry is P4/nmm, No. 129. The calculation puts the density at 8.54 g/cm³. As for the formation energy (no corrections): -2175 meV/atom.

Cell: 3.9869 3.9869 13.8828 Å, 90.00 90.00 90.00°
Last column: nearest neighbours and their distance in Å.
Fractional coordinates of all 10 atoms:
1 Dy 0.2500 0.2500 0.0780  4 O 2.27
2 Dy 0.7500 0.7500 0.9220  4 O 2.27
3 Pa 0.2500 0.2500 0.6044  6 Se 2.74-3.01
4 Pa 0.7500 0.7500 0.3956  6 Se 2.74-3.01
5 Se 0.2500 0.2500 0.3873  5 Pa 2.82-3.01
6 Se 0.2500 0.2500 0.8014  1 Pa 2.74
7 Se 0.7500 0.7500 0.1986  1 Pa 2.74
8 Se 0.7500 0.7500 0.6127  5 Pa 2.82-3.01
9 O 0.2500 0.7500 0.0000  4 Dy 2.27
10 O 0.7500 0.2500 0.0000  4 Dy 2.27

Record 6
This record from Alexandria describes crystalline Cs2MnTlC at its relaxed geometry. The functional is PBE.

Properties
For the formation energy, the calculation gives 1370 meV/atom. The symmetry is P4/mmm, No. 123. The calculation puts the density at 3.93 g/cm³.

Cell: 7.4144 7.4144 4.1275 Å, 90.00 90.00 90.00°
Last column: nearest neighbours and their distance in Å.
Fractional coordinates of all 5 atoms:
1 Cs 0.0000 0.5000 0.0000  2 Tl 3.71, 2 Cs 4.13
2 Cs 0.5000 0.0000 0.0000  2 Tl 3.71, 2 Cs 4.13
3 Mn 0.0000 0.0000 0.5000  2 Mn 4.13, 8 Cs 4.24
4 Tl 0.5000 0.5000 0.0000  2 C 2.06
5 C 0.5000 0.5000 0.5000  2 Tl 2.06

Record 7
This record from Alexandria describes crystalline NaInPO2 at its relaxed geometry. The functional is PBE.

Properties
The symmetry is P4/mmm, No. 123. The calculation puts the density at 3.67 g/cm³. As for the formation energy (no corrections): 493 meV/atom. For the distance to the lowest polymorph of the same formula, the calculation gives 0.6393 eV/atom.

Cell: 4.1414 4.1414 5.2923 Å, 90.00 90.00 90.00°
Last column: nearest neighbours and their distance in Å.
Fractional coordinates of all 5 atoms:
1 Na 0.0000 0.0000 0.0000  4 O 2.07
2 In 0.5000 0.5000 0.5000  4 P 2.93
3 P 0.0000 0.0000 0.5000  2 Na 2.65, 4 In 2.93
4 O 0.0000 0.5000 0.0000  2 Na 2.07
5 O 0.5000 0.0000 0.0000  2 Na 2.07

Record 8
This record from Alexandria describes crystalline MgHgPb4 at its relaxed geometry. The functional is PBE.

Properties
For the formation energy, the calculation gives -6 meV/atom. The symmetry is P4/mmm, No. 123. The calculation puts the density at 10.19 g/cm³. For the distance to the lowest polymorph of the same formula, the calculation gives 0.0000 eV/atom.

Cell: 3.4869 3.4869 14.1227 Å, 90.00 90.00 90.00°
Last column: nearest neighbours and their distance in Å.
Fractional coordinates of all 6 atoms:
1 Mg 0.0000 0.0000 0.0000  8 Pb 3.27, 4 Mg 3.49
2 Hg 0.5000 0.5000 0.5000  8 Pb 3.36, 4 Hg 3.49
3 Pb 0.0000 0.0000 0.3385  4 Hg 3.36, 8 Pb 3.49-3.61
4 Pb 0.0000 0.0000 0.6615  4 Hg 3.36, 8 Pb 3.49-3.61
5 Pb 0.5000 0.5000 0.1518  4 Mg 3.27, 8 Pb 3.49-3.61
6 Pb 0.5000 0.5000 0.8482  4 Mg 3.27, 8 Pb 3.49-3.61

Record 9
This record from Alexandria describes crystalline SmSnHg6 at its relaxed geometry. The functional is PBE.

Properties
For the formation energy, the calculation gives 128 meV/atom. The symmetry is R-3m, No. 166. The calculation puts the density at 9.17 g/cm³.

Cell: 8.8814 8.8814 8.8814 Å, 40.52 40.52 40.52°
Last column: nearest neighbours and their distance in Å.
Fractional coordinates of all 8 atoms:
1 Sm 0.0000 0.0000 0.0000  6 Hg 3.09
2 Sn 0.5000 0.5000 0.5000  12 Hg 3.45
3 Hg 0.0686 0.0686 0.5560  5 Hg 3.00-3.15, 1 Sm 3.09
4 Hg 0.0686 0.5560 0.0686  5 Hg 3.00-3.15, 1 Sm 3.09
5 Hg 0.4440 0.9314 0.9314  5 Hg 3.00-3.15, 1 Sm 3.09
6 Hg 0.5560 0.0686 0.0686  5 Hg 3.00-3.15, 1 Sm 3.09
7 Hg 0.9314 0.4440 0.9314  5 Hg 3.00-3.15, 1 Sm 3.09
8 Hg 0.9314 0.9314 0.4440  5 Hg 3.00-3.15, 1 Sm 3.09

Record 10
This record from Alexandria describes crystalline KNaCd2Pt at its relaxed geometry. The functional is PBE.

Properties
For the formation energy, the calculation gives -63 meV/atom. The symmetry is P4/mmm, No. 123. The calculation puts the density at 4.79 g/cm³. For the distance to the lowest polymorph of the same formula, the calculation gives 0.1343 eV/atom.

Cell: 5.3134 5.3134 5.9173 Å, 90.00 90.00 90.00°
Last column: nearest neighbours and their distance in Å.
Fractional coordinates of all 5 atoms:
1 K 0.0000 0.0000 0.0000  2 Pt 2.96
2 Na 0.5000 0.5000 0.0000  4 K 3.76, 8 Cd 3.98
3 Cd 0.0000 0.5000 0.5000  2 Pt 2.66
4 Cd 0.5000 0.0000 0.5000  2 Pt 2.66
5 Pt 0.0000 0.0000 0.5000  4 Cd 2.66, 2 K 2.96